# DyYNi4 PBE relaxed
# crystal system	cubic
# calculated formation energy	-0.4372	eV/atom
data_DyYNi4
_cell_length_a 7.155
_cell_length_b 7.155
_cell_length_c 7.155
_cell_angle_alpha 90.00
_cell_angle_beta 90.00
_cell_angle_gamma 90.00
_space_group_name_H-M_alt 'F -4 3 m'
_space_group_IT_number 216
_space_group_name_Hall 'F -4 2 3'
loop_
_atom_site_label
_atom_site_fract_x
_atom_site_fract_y
_atom_site_fract_z
Dy1 0.000 0.000 0.000
Y1 0.250 0.250 0.750
Ni1 0.125 0.125 0.375

---

# HoBiPb PBE relaxed
# crystal system	cubic
data_HoBiPb
_cell_length_a 7.443
_cell_length_b 7.443
_cell_length_c 7.443
_cell_angle_alpha 90.00
_cell_angle_beta 90.00
_cell_angle_gamma 90.00
_space_group_name_H-M_alt 'F -4 3 m'
_space_group_IT_number 216
_space_group_name_Hall 'F -4 2 3'
loop_
_atom_site_label
_atom_site_fract_x
_atom_site_fract_y
_atom_site_fract_z
Ho1 0.000 0.000 0.000
Bi1 0.000 0.000 0.500
Pb1 0.250 0.250 0.750

---

no.,DFT total energy (eV per cell),magnetization (Bohr magnetons per cell)
1,-143.8,0.002
2,-49.2,0.049